This record from Alexandria via LeMat-Bulk describes a geometry-optimized AcTbGaHg structure. The functional is PBE-GGA.

Values from the calculation:
**Formation energy**: -0.43 eV/atom
**E_tot**: -55.19 eV for the cell shown

Lattice parameters (Å, degrees): 7.7080 7.7080 7.7080 90.00 90.00 90.00
With the nearest neighbours (Å) after each atom.
Space group F-43m (No. 216)
Symmetry-distinct sites (fractional):
1 Ac 0.0000 0.0000 0.0000 x4  4 Hg 3.34, 4 Ga 3.34
2 Tb 0.0000 0.0000 0.5000 x4  4 Ga 3.34, 4 Hg 3.34
3 Ga 0.2500 0.2500 0.7500 x4  4 Ac 3.34, 4 Tb 3.34
4 Hg 0.2500 0.2500 0.2500 x4  4 Tb 3.34, 4 Ac 3.34